Entry 1:
The following is a GGA-PBEsol calculation of a geometry-optimized MgFePt2 structure, from Alexandria via LeMat-Bulk.

abc: 4.5772 4.5772 2.8061
angles: 90.00 90.00 103.38
Last column: nearest neighbours and their distance in Å.
Atoms (fractional coordinates):
Mg 0.0000 0.0000 0.0000  8 Pt 2.68, 2 Mg 2.81, 2 Fe 2.84
Fe 0.5000 0.5000 0.0000  8 Pt 2.68, 2 Fe 2.81, 2 Mg 2.84
Pt 0.0000 0.5000 0.5000  4 Fe 2.68, 4 Mg 2.68, 4 Pt 2.81-2.84
Pt 0.5000 0.0000 0.5000  4 Fe 2.68, 4 Mg 2.68, 4 Pt 2.81-2.84

Values from the calculation:
DOS(E_F) = 2.38 states/eV/f.u.
total DFT energy (no corrections) = -6.5931 eV per atom
ΔH_f (0 K) = -42.56 kJ per mole of atoms



Entry 2:
The following is a GGA-PBEsol calculation of a geometry-optimized LiYTl structure, from Alexandria via LeMat-Bulk.

abc: 5.3582 5.3582 5.3582
angles: 143.71 127.89 65.15
Last column: nearest neighbours and their distance in Å.
Atoms (fractional coordinates):
Li 0.0000 0.0000 0.0000  5 Y 2.96-3.28, 5 Tl 2.98-3.27
Y 0.3277 0.3277 0.0000  5 Li 2.96-3.28, 5 Tl 3.09-3.22
Tl 0.6695 0.6695 0.0000  5 Li 2.98-3.27, 5 Y 3.09-3.22, 2 Tl 3.34

Values from the calculation:
excess energy over the best structure of this formula in the dataset = 0.1402 eV/atom
DOS(E_F) = 2.08 states/eV/f.u.
total DFT energy (no corrections) = -4.0084 eV per atom
ΔH_f (0 K) = -19.50 kJ per mole of atoms